# Li2NiP2O7

An optimized crystal structure of Li2NiP2O7 (PBE with a Hubbard U, the Alexandria database).

## Properties
Relative energy among the computed polymorphs ... 13 meV/atom
Density ... 3.02 g cm⁻³
N(E_F) ... 0.0000 states/eV/atom
Space group ... P1

Cell: 6.5484 9.2465 10.2502 Å, 66.53 87.00 72.77°
Closest atoms and distances in Å follow each position.
Sites, in units of the cell vectors:
Li (0.0000, 0.0000, 0.0000)  2 O 1.94-2.04
Li (0.0038, 0.0708, 0.5812)  4 O 2.06-2.23
Li (0.2652, 0.2380, 0.8997)  4 O 1.92-2.11
Li (0.3509, 0.6631, 0.5541)  3 O 1.97-2.12
Li (0.5823, 0.1032, 0.1320)  4 O 1.96-2.18
Li (0.6237, 0.3385, 0.4589)  4 O 2.03-2.12
Li (0.8094, 0.6554, 0.4504)  4 O 2.01-2.23
Li (0.8644, 0.4228, 0.9980)  3 O 1.97-2.09
Ni (0.1951, 0.2562, 0.2922)  5 O 2.02-2.15
Ni (0.2872, 0.6370, 0.2736)  6 O 2.02-2.20
Ni (0.5473, 0.6826, 0.7735)  6 O 2.05-2.17
Ni (0.6294, 0.0580, 0.7449)  5 O 2.03-2.08
P (0.0086, 0.9573, 0.3215)  4 O 1.52-1.67
P (0.0379, 0.7209, 0.8164)  4 O 1.53-1.63
P (0.2161, 0.3401, 0.5737)  4 O 1.52-1.64
P (0.3500, 0.4672, 0.0512)  4 O 1.52-1.61
P (0.4907, 0.8669, 0.9935)  4 O 1.52-1.60
P (0.6060, 0.9764, 0.4658)  4 O 1.52-1.64
P (0.8109, 0.5828, 0.2244)  4 O 1.53-1.61
P (0.8235, 0.3554, 0.7216)  4 O 1.52-1.67
O (0.0353, 0.0838, 0.3743)  1 P 1.53
O (0.1490, 0.6297, 0.9792)  2 P 1.61-1.63
O (0.1619, 0.2457, 0.4947)  1 P 1.52
O (0.2111, 0.8099, 0.3560)  1 P 1.53
O (0.2222, 0.7002, 0.7210)  1 P 1.53
O (0.2965, 0.8342, 0.0747)  1 P 1.52
O (0.2983, 0.3167, 0.0463)  1 P 1.55
O (0.3264, 0.4686, 0.4862)  1 P 1.53
O (0.3378, 0.2278, 0.7186)  1 P 1.53
O (0.3578, 0.4423, 0.2098)  1 P 1.55
O (0.4816, 0.0817, 0.3203)  1 P 1.53
O (0.4817, 0.8745, 0.8402)  1 P 1.55
O (0.5212, 0.8364, 0.5612)  1 P 1.52
O (0.5349, 0.0268, 0.9815)  1 P 1.55
O (0.5482, 0.5002, 0.9761)  1 P 1.52
O (0.6239, 0.5011, 0.6956)  1 P 1.52
O (0.6324, 0.5699, 0.3298)  1 P 1.55
O (0.6504, 0.0841, 0.5364)  1 P 1.54
O (0.7029, 0.7189, 0.0706)  2 P 1.60-1.61
O (0.7859, 0.2371, 0.6606)  1 P 1.54
O (0.8382, 0.8740, 0.4304)  2 P 1.64-1.67
O (0.8764, 0.6308, 0.8168)  1 P 1.53
O (0.9021, 0.0316, 0.1709)  1 P 1.52
O (0.9110, 0.4269, 0.1967)  1 P 1.53
O (0.9382, 0.2658, 0.8717)  1 P 1.53
O (0.9386, 0.9032, 0.7945)  1 P 1.54
O (0.9663, 0.6477, 0.2750)  1 P 1.53
O (0.9877, 0.4450, 0.6105)  2 P 1.64-1.67